1.
## Cs4RbAu2 (PBE)

Data for Cs4RbAu2 after structural relaxation.

Computed properties:
Energy above the lowest structure with this stoichiometry = 212.6 meV/atom
Fermi-level density of states = 0.913 states/eV per atom
Calculated total energy = -0.1113 Ry per atom

Lattice parameters (Å, degrees): 11.0493 11.0493 11.0493 139.31 139.31 58.91
Positions (direct):
Cs 0.0000 0.5000 0.5000
Cs 0.2478 0.2478 0.0000
Cs 0.5000 0.0000 0.5000
Cs 0.7522 0.7522 0.0000
Rb 0.5000 0.5000 0.0000
Au 0.0722 0.0722 0.0000
Au 0.9278 0.9278 0.0000



2.
## Ti2Zn4Cu (PBE)

Data for Ti2Zn4Cu after structural relaxation.

Computed properties:
Fermi-level density of states = 0.808 states/eV per atom
Calculated total energy = -0.2516 Ry per atom

Lattice parameters (Å, degrees): 6.5766 5.5222 5.1452 76.03 54.57 49.39
Positions (direct):
Ti 0.1471 0.1471 0.8529
Ti 0.8529 0.8529 0.1471
Zn 0.0000 0.0000 0.5000
Zn 0.2500 0.2500 0.2500
Zn 0.5000 0.5000 0.0000
Zn 0.7500 0.7500 0.7500
Cu 0.5000 0.5000 0.5000



3.
## Y2ZnHPt6 (PBE)

Data for Y2ZnHPt6 after structural relaxation.

Computed properties:
Fermi-level density of states = 0.436 states/eV per atom
Calculated total energy = -0.4514 Ry per atom

Lattice parameters (Å, degrees): 5.6105 5.6127 7.0143 66.52 66.55 60.05
Positions (direct):
Y 0.2143 0.2153 0.3572
Y 0.7857 0.7847 0.6428
Zn 0.5000 0.5000 0.5000
H 0.0000 0.0000 0.0000
Pt 0.2311 0.7264 0.8104
Pt 0.2317 0.2300 0.8086
Pt 0.2713 0.7704 0.1907
Pt 0.7287 0.2296 0.8093
Pt 0.7683 0.7700 0.1914
Pt 0.7689 0.2736 0.1896



4.
## B2C (PBE)

Data for B2C after structural relaxation.

Computed properties:
Energy above the lowest structure with this stoichiometry = 106.2 meV/atom
Fermi-level density of states = 0.235 states/eV per atom
Calculated total energy = -0.5317 Ry per atom

Lattice parameters (Å, degrees): 2.7093 2.7093 16.6616 90.00 90.00 120.00
Positions (direct):
B 0.0000 0.0000 0.0000
B 0.0000 0.0000 0.1046
B 0.0000 0.0000 0.4961
B 0.3333 0.6667 0.3342
B 0.3333 0.6667 0.5972
B 0.3333 0.6667 0.8398
B 0.6667 0.3333 0.4356
B 0.6667 0.3333 0.9408
C 0.0000 0.0000 0.5901
C 0.3333 0.6667 0.1069
C 0.6667 0.3333 0.3417
C 0.6667 0.3333 0.8467



5.
## Ac3Er2Pb3 (PBE)

Data for Ac3Er2Pb3 after structural relaxation.

Computed properties:
Energy above the lowest structure with this stoichiometry = 92.3 meV/atom
Fermi-level density of states = 1.126 states/eV per atom
Calculated total energy = -0.3271 Ry per atom

Lattice parameters (Å, degrees): 12.3401 12.3401 12.3401 158.82 155.77 32.40
Positions (direct):
Ac 0.0000 0.0000 0.0000
Ac 0.3783 0.8783 0.5000
Ac 0.6217 0.1217 0.5000
Er 0.2529 0.2529 0.0000
Er 0.7471 0.7471 0.0000
Pb 0.1532 0.6532 0.5000
Pb 0.5000 0.5000 0.0000
Pb 0.8468 0.3468 0.5000



6.
## CrNi2AgN (PBE)

Data for CrNi2AgN after structural relaxation.

Computed properties:
Fermi-level density of states = 0.630 states/eV per atom
Calculated total energy = -0.4769 Ry per atom
Formation energy (no corrections) = -0.02 eV/atom

Lattice parameters (Å, degrees): 3.9176 3.9176 3.8276 90.00 90.00 90.00
Positions (direct):
Cr 0.0000 0.0000 0.0000
Ni 0.0000 0.5000 0.5000
Ni 0.5000 0.0000 0.5000
Ag 0.5000 0.5000 0.0000
N 0.0000 0.0000 0.5000